Material: LiTiP2O
Method: DFT, GGA-PBE
State: relaxed

Unit cell a=4.444 b=4.444 c=3.383 alpha=90.00 beta=90.00 gamma=90.00
Atoms (fractional coordinates):
Li  0.000  0.000  0.000
Ti  0.500  0.500  0.500
P  0.000  0.500  0.000
P  0.500  0.000  0.000
O  0.000  0.000  0.500

Values from the calculation:
Density of states at the Fermi level (states/eV per cell): 3.2
SG: P4/mmm
Energy relative to the elements, uncorrected (meV/atom): 70
ΔE to the lowest computed polymorph (meV/atom): 664